No. 1
Y2GeH: optimized geometry, PBE.

Values from the calculation:
Symmetry = Fm-3m
Total DFT energy (no corrections) = -5.643 eV/atom
Polymorph energy (0 for the lowest one) = 122 meV/atom

Lattice parameters (Å, degrees): 4.8545 4.8545 4.8545 60.00 60.00 60.00
Positions (direct):
1 Y 0.2500 0.2500 0.2500
2 Y 0.7500 0.7500 0.7500
3 Ge 0.0000 0.0000 0.0000
4 H 0.5000 0.5000 0.5000

=====

No. 2
Y3GeH3: optimized geometry, PBE.

Values from the calculation:
Symmetry = R-3
Total DFT energy (no corrections) = -5.496 eV/atom

Lattice parameters (Å, degrees): 7.6441 7.6441 7.6441 51.23 51.23 51.23
Positions (direct):
1 Y 0.0891 0.7562 0.4344
2 Y 0.2438 0.5656 0.9109
3 Y 0.4344 0.0891 0.7562
4 Y 0.5656 0.9109 0.2438
5 Y 0.7562 0.4344 0.0891
6 Y 0.9109 0.2438 0.5656
7 Ge 0.3342 0.3342 0.3342
8 Ge 0.6658 0.6658 0.6658
9 H 0.1319 0.4596 0.7919
10 H 0.2081 0.8681 0.5404
11 H 0.4596 0.7919 0.1319
12 H 0.5404 0.2081 0.8681
13 H 0.7919 0.1319 0.4596
14 H 0.8681 0.5404 0.2081

=====

No. 3
YGe2H: optimized geometry, PBE.

Values from the calculation:
Symmetry = I-42d
Total DFT energy (no corrections) = -4.727 eV/atom
Polymorph energy (0 for the lowest one) = 0 meV/atom

Lattice parameters (Å, degrees): 6.6353 6.6353 6.6353 133.64 133.64 67.65
Positions (direct):
1 Y 0.0000 0.0000 0.0000
2 Y 0.7500 0.2500 0.5000
3 Ge 0.3718 0.6250 0.2468
4 Ge 0.3750 0.6218 0.7468
5 Ge 0.3782 0.1250 0.7532
6 Ge 0.8750 0.6282 0.2532
7 H 0.2500 0.7500 0.5000
8 H 0.5000 0.5000 0.0000

=====

No. 4
YGeH: optimized geometry, PBE.

Values from the calculation:
Symmetry = Pnma
Total DFT energy (no corrections) = -5.255 eV/atom
Polymorph energy (0 for the lowest one) = 294 meV/atom

Lattice parameters (Å, degrees): 5.9562 6.0391 5.9995 90.00 90.00 90.00
Positions (direct):
1 Y 0.2409 0.2500 0.0046
2 Y 0.2591 0.7500 0.5046
3 Y 0.7409 0.2500 0.4954
4 Y 0.7591 0.7500 0.9954
5 Ge 0.2483 0.7500 0.0250
6 Ge 0.2517 0.2500 0.5250
7 Ge 0.7483 0.7500 0.4750
8 Ge 0.7517 0.2500 0.9750
9 H 0.0622 0.2500 0.3202
10 H 0.4378 0.7500 0.8202
11 H 0.5622 0.2500 0.1798
12 H 0.9378 0.7500 0.6798

=====

No. 5
Y2GeH: optimized geometry, PBE.

Values from the calculation:
Symmetry = I-42d
Total DFT energy (no corrections) = -5.394 eV/atom
Polymorph energy (0 for the lowest one) = 371 meV/atom

Lattice parameters (Å, degrees): 7.5166 7.5166 7.5166 136.62 136.62 63.03
Positions (direct):
1 Y 0.0644 0.6250 0.9394
2 Y 0.3750 0.3144 0.4394
3 Y 0.6856 0.1250 0.0606
4 Y 0.8750 0.9356 0.5606
5 Ge 0.2500 0.7500 0.5000
6 Ge 0.5000 0.5000 0.0000
7 H 0.0000 0.0000 0.0000
8 H 0.7500 0.2500 0.5000

=====

No. 6
Y12Ge3H5: optimized geometry, PBE.

Values from the calculation:
Symmetry = Ia-3d
Total DFT energy (no corrections) = -5.831 eV/atom

Lattice parameters (Å, degrees): 13.2240 13.2240 13.2240 109.47 109.47 109.47
Positions (direct):
1 Y 0.0211 0.2126 0.1160
2 Y 0.0211 0.3085 0.9051
3 Y 0.0949 0.6160 0.4034
4 Y 0.0949 0.9789 0.6915
5 Y 0.0966 0.7126 0.6915
6 Y 0.0966 0.8840 0.4051
7 Y 0.1160 0.0211 0.2126
8 Y 0.1160 0.5949 0.9034
9 Y 0.1915 0.2126 0.5966
10 Y 0.1915 0.4789 0.5949
11 Y 0.2126 0.1160 0.0211
12 Y 0.2126 0.5966 0.1915
13 Y 0.2874 0.3085 0.9034
14 Y 0.2874 0.4789 0.3840
15 Y 0.3085 0.9034 0.2874
16 Y 0.3085 0.9051 0.0211
17 Y 0.3840 0.2874 0.4789
18 Y 0.3840 0.5966 0.9051
19 Y 0.4034 0.0949 0.6160
20 Y 0.4034 0.8085 0.7874
21 Y 0.4051 0.0966 0.8840
22 Y 0.4051 0.8085 0.5211
23 Y 0.4789 0.3840 0.2874
24 Y 0.4789 0.5949 0.1915
25 Y 0.5211 0.4051 0.8085
26 Y 0.5211 0.6160 0.7126
27 Y 0.5949 0.1915 0.4789
28 Y 0.5949 0.9034 0.1160
29 Y 0.5966 0.1915 0.2126
30 Y 0.5966 0.9051 0.3840
31 Y 0.6160 0.4034 0.0949
32 Y 0.6160 0.7126 0.5211
33 Y 0.6915 0.0949 0.9789
34 Y 0.6915 0.0966 0.7126
35 Y 0.7126 0.5211 0.6160
36 Y 0.7126 0.6915 0.0966
37 Y 0.7874 0.4034 0.8085
38 Y 0.7874 0.8840 0.9789
39 Y 0.8085 0.5211 0.4051
40 Y 0.8085 0.7874 0.4034
41 Y 0.8840 0.4051 0.0966
42 Y 0.8840 0.9789 0.7874
43 Y 0.9034 0.1160 0.5949
44 Y 0.9034 0.2874 0.3085
45 Y 0.9051 0.0211 0.3085
46 Y 0.9051 0.3840 0.5966
47 Y 0.9789 0.6915 0.0949
48 Y 0.9789 0.7874 0.8840
49 Ge 0.1250 0.2500 0.3750
50 Ge 0.1250 0.3750 0.7500
51 Ge 0.2500 0.3750 0.1250
52 Ge 0.2500 0.8750 0.6250
53 Ge 0.3750 0.1250 0.2500
54 Ge 0.3750 0.7500 0.1250
55 Ge 0.6250 0.2500 0.8750
56 Ge 0.6250 0.8750 0.7500
57 Ge 0.7500 0.1250 0.3750
58 Ge 0.7500 0.6250 0.8750
59 Ge 0.8750 0.6250 0.2500
60 Ge 0.8750 0.7500 0.6250
61 H 0.0000 0.0000 0.0000
62 H 0.0000 0.0000 0.5000
63 H 0.0000 0.5000 0.0000
64 H 0.0000 0.5000 0.5000
65 H 0.1250 0.7500 0.8750
66 H 0.1250 0.8750 0.2500
67 H 0.2500 0.1250 0.8750
68 H 0.2500 0.6250 0.3750
69 H 0.3750 0.2500 0.6250
70 H 0.3750 0.6250 0.7500
71 H 0.5000 0.0000 0.0000
72 H 0.5000 0.0000 0.5000
73 H 0.5000 0.5000 0.0000
74 H 0.5000 0.5000 0.5000
75 H 0.6250 0.3750 0.2500
76 H 0.6250 0.7500 0.3750
77 H 0.7500 0.3750 0.6250
78 H 0.7500 0.8750 0.1250
79 H 0.8750 0.1250 0.7500
80 H 0.8750 0.2500 0.1250

=====

No. 7
Y2GeH: optimized geometry, PBE.

Values from the calculation:
Symmetry = I4mm
Total DFT energy (no corrections) = -5.709 eV/atom
Polymorph energy (0 for the lowest one) = 56 meV/atom

Lattice parameters (Å, degrees): 5.0005 5.0005 5.0005 122.97 122.97 84.92
Positions (direct):
1 Y 0.0000 0.5000 0.5000
2 Y 0.5000 0.0000 0.5000
3 Ge 0.2251 0.2251 0.0000
4 H 0.5729 0.5729 0.0000

=====

No. 8
Y2Ge2H: optimized geometry, PBE.

Values from the calculation:
Symmetry = P4/mbm
Total DFT energy (no corrections) = -5.681 eV/atom
Polymorph energy (0 for the lowest one) = 0 meV/atom

Lattice parameters (Å, degrees): 7.0793 7.0793 4.2602 90.00 90.00 90.00
Positions (direct):
1 Y 0.1800 0.3200 0.0000
2 Y 0.3200 0.8200 0.0000
3 Y 0.6800 0.1800 0.0000
4 Y 0.8200 0.6800 0.0000
5 Ge 0.1220 0.6220 0.5000
6 Ge 0.3780 0.1220 0.5000
7 Ge 0.6220 0.8780 0.5000
8 Ge 0.8780 0.3780 0.5000
9 H 0.0000 0.0000 0.0000
10 H 0.5000 0.5000 0.0000

=====

No. 9
YGe3H: optimized geometry, PBE.

Values from the calculation:
Symmetry = Pm-3m
Total DFT energy (no corrections) = -3.574 eV/atom
Polymorph energy (0 for the lowest one) = 1305 meV/atom

Lattice parameters (Å, degrees): 5.5182 5.5182 5.5182 90.00 90.00 90.00
Positions (direct):
1 Y 0.0000 0.0000 0.0000
2 Ge 0.0000 0.0000 0.5000
3 Ge 0.0000 0.5000 0.0000
4 Ge 0.5000 0.0000 0.0000
5 H 0.5000 0.5000 0.5000

=====

No. 10
YGeH: optimized geometry, PBE.

Values from the calculation:
Symmetry = Pnma
Total DFT energy (no corrections) = -5.215 eV/atom
Polymorph energy (0 for the lowest one) = 334 meV/atom

Lattice parameters (Å, degrees): 9.0970 3.6033 6.3078 90.00 90.00 90.00
Positions (direct):
1 Y 0.0128 0.2500 0.2347
2 Y 0.4872 0.7500 0.7347
3 Y 0.5128 0.2500 0.2653
4 Y 0.9872 0.7500 0.7653
5 Ge 0.2324 0.2500 0.5878
6 Ge 0.2676 0.7500 0.0878
7 Ge 0.7324 0.2500 0.9122
8 Ge 0.7676 0.7500 0.4122
9 H 0.0715 0.2500 0.9035
10 H 0.4285 0.7500 0.4035
11 H 0.5715 0.2500 0.5965
12 H 0.9285 0.7500 0.0965

=====

No. 11
YGe3H: optimized geometry, PBE.

Values from the calculation:
Symmetry = Pm-3m
Total DFT energy (no corrections) = -4.878 eV/atom
Polymorph energy (0 for the lowest one) = 0 meV/atom

Lattice parameters (Å, degrees): 4.3874 4.3874 4.3874 90.00 90.00 90.00
Positions (direct):
1 Y 0.0000 0.0000 0.0000
2 Ge 0.0000 0.5000 0.5000
3 Ge 0.5000 0.0000 0.5000
4 Ge 0.5000 0.5000 0.0000
5 H 0.5000 0.5000 0.5000

=====

No. 12
YGeH: optimized geometry, PBE.

Values from the calculation:
Symmetry = Pnma
Total DFT energy (no corrections) = -5.539 eV/atom
Polymorph energy (0 for the lowest one) = 10 meV/atom

Lattice parameters (Å, degrees): 7.7742 3.9634 6.0741 90.00 90.00 90.00
Positions (direct):
1 Y 0.1746 0.2500 0.1172
2 Y 0.3254 0.7500 0.6172
3 Y 0.6746 0.2500 0.3828
4 Y 0.8254 0.7500 0.8828
5 Ge 0.0311 0.2500 0.6233
6 Ge 0.4689 0.7500 0.1233
7 Ge 0.5311 0.2500 0.8767
8 Ge 0.9689 0.7500 0.3767
9 H 0.1195 0.7500 0.9289
10 H 0.3805 0.2500 0.4289
11 H 0.6195 0.7500 0.5711
12 H 0.8805 0.2500 0.0711

=====

| no. | M_tot (μB/f.u.) |
| --- | --- |
| 1 | 0.0 |
| 2 | 0.5 |
| 3 | 0.0 |
| 4 | 0.0 |
| 5 | 0.7 |
| 6 | 0.0 |
| 7 | 0.3 |
| 8 | 0.0 |
| 9 | 1.0 |
| 10 | 0.0 |
| 11 | 0.0 |
| 12 | 0.0 |